Entry 1:
Below is an optimized crystal structure of LiGdHg, with properties calculated at the PBE-GGA level.

CIF file:
```
data_LiGdHg
_chemical_formula_sum 'Li1 Gd1 Hg1'
_symmetry_space_group_name_H-M 'P 1'
_symmetry_Int_Tables_number 1
_cell_length_a 4.889
_cell_length_b 4.889
_cell_length_c 4.889
_cell_angle_alpha 60.00
_cell_angle_beta 60.00
_cell_angle_gamma 60.00
loop_
_symmetry_equiv_pos_as_xyz
'x,y,z'
loop_
_atom_site_label
_atom_site_type_symbol
_atom_site_fract_x
_atom_site_fract_y
_atom_site_fract_z
Li1 Li 0.000 0.000 0.000
Gd1 Gd 0.500 0.500 0.500
Hg1 Hg 0.750 0.750 0.750
```

Computed properties:
V	27.5	A^3/atom
E above lowest polymorph	0.00	eV per formula unit
total energy	-2.3929	eV per atom
space-group type	No. 216

***

Entry 2:
Below is an optimized crystal structure of AcThSc, with properties calculated at the PBE-GGA level.

CIF file:
```
data_AcThSc
_chemical_formula_sum 'Ac1 Th1 Sc1'
_symmetry_space_group_name_H-M 'P 1'
_symmetry_Int_Tables_number 1
_cell_length_a 5.420
_cell_length_b 5.420
_cell_length_c 5.420
_cell_angle_alpha 60.00
_cell_angle_beta 60.00
_cell_angle_gamma 60.00
loop_
_symmetry_equiv_pos_as_xyz
'x,y,z'
loop_
_atom_site_label
_atom_site_type_symbol
_atom_site_fract_x
_atom_site_fract_y
_atom_site_fract_z
Ac1 Ac 0.000 0.000 0.000
Th1 Th 0.500 0.500 0.500
Sc1 Sc 0.250 0.250 0.250
```

Computed properties:
V	37.5	A^3/atom
formation energy from the elements	677	meV/atom
E above lowest polymorph	0.00	eV per formula unit
total energy	-5.2726	eV per atom
space-group type	No. 216

***

Entry 3:
Below is an optimized crystal structure of YGaFeMo, with properties calculated at the PBE-GGA level.

CIF file:
```
data_YGaFeMo
_chemical_formula_sum 'Y1 Ga1 Fe1 Mo1'
_symmetry_space_group_name_H-M 'P 1'
_symmetry_Int_Tables_number 1
_cell_length_a 4.586
_cell_length_b 4.586
_cell_length_c 4.586
_cell_angle_alpha 60.00
_cell_angle_beta 60.00
_cell_angle_gamma 60.00
loop_
_symmetry_equiv_pos_as_xyz
'x,y,z'
loop_
_atom_site_label
_atom_site_type_symbol
_atom_site_fract_x
_atom_site_fract_y
_atom_site_fract_z
Y1 Y 0.000 0.000 0.000
Ga1 Ga 0.500 0.500 0.500
Fe1 Fe 0.750 0.750 0.750
Mo1 Mo 0.250 0.250 0.250
```

Computed properties:
V	17.0	A^3/atom
E above lowest polymorph	0.00	eV per formula unit
total energy	-6.8296	eV per atom
space-group type	No. 216